A | {"formula": "Li2V2F7", "functional": "GGA-PBEsol", "state": "optimized geometry", "lattice_angstrom": [[-3.757, 0.753, 3.508], [-4.930, -2.338, -3.923], [-2.156, -7.818, 2.689]], "species": ["F", "V", "F", "Li", "F", "V", "Li", "F", "F", "Li", "V", "F", "F", "F", "F", "F", "F", "F", "Li", "F", "F", "V"], "frac_coords": [[0.434, 0.573, 0.780], [0.809, 0.509, 0.672], [0.566, 0.427, 0.220], [0.877, 0.967, 0.753], [0.925, 0.781, 0.634], [0.703, 0.713, 0.191], [0.665, 0.237, 0.092], [0.325, 0.780, 0.293], [0.189, 0.414, 0.580], [0.123, 0.033, 0.247], [0.191, 0.491, 0.328], [0.075, 0.219, 0.366], [0.642, 0.810, 0.962], [0.081, 0.621, 0.109], [0.811, 0.586, 0.420], [0.358, 0.190, 0.038], [0.675, 0.220, 0.707], [0.178, 0.016, 0.818], [0.335, 0.763, 0.908], [0.822, 0.984, 0.182], [0.919, 0.379, 0.891], [0.297, 0.287, 0.809]], "m_tot_mub_per_atom": 0.455, "rho_g_cm3": 3.029}

=====

B | {"formula": "Li2V2F7", "functional": "GGA-PBEsol", "state": "optimized geometry", "lattice_angstrom": [[7.058, 0.000, 0.000], [0.000, 7.519, -0.029], [0.000, -0.041, 10.084]], "species": ["F", "F", "Li", "Li", "V", "F", "F", "F", "Li", "V", "F", "F", "F", "F", "V", "F", "V", "F", "F", "F", "F", "F", "F", "F", "Li", "V", "F", "Li", "F", "F", "F", "F", "Li", "V", "F", "Li", "V", "F", "Li", "F", "F", "V", "F", "F"], "frac_coords": [[0.094, 0.823, 0.457], [0.828, 0.899, 0.185], [0.863, 0.842, 0.361], [0.637, 0.842, 0.861], [0.133, 0.614, 0.584], [0.617, 0.251, 0.750], [0.406, 0.677, 0.543], [0.855, 0.550, 0.574], [0.363, 0.158, 0.139], [0.633, 0.386, 0.916], [0.594, 0.323, 0.457], [0.645, 0.550, 0.074], [0.355, 0.450, 0.926], [0.094, 0.677, 0.043], [0.133, 0.885, 0.916], [0.594, 0.177, 0.043], [0.867, 0.115, 0.084], [0.672, 0.899, 0.685], [0.644, 0.950, 0.426], [0.856, 0.950, 0.926], [0.145, 0.450, 0.426], [0.383, 0.749, 0.250], [0.356, 0.050, 0.574], [0.906, 0.323, 0.957], [0.138, 0.341, 0.860], [0.633, 0.115, 0.584], [0.328, 0.398, 0.185], [0.137, 0.158, 0.639], [0.406, 0.823, 0.957], [0.672, 0.602, 0.815], [0.883, 0.251, 0.250], [0.328, 0.101, 0.315], [0.638, 0.659, 0.640], [0.367, 0.885, 0.416], [0.172, 0.101, 0.815], [0.862, 0.659, 0.140], [0.367, 0.614, 0.084], [0.144, 0.050, 0.074], [0.362, 0.341, 0.360], [0.117, 0.749, 0.750], [0.172, 0.398, 0.685], [0.867, 0.386, 0.416], [0.906, 0.177, 0.543], [0.828, 0.602, 0.315]], "m_tot_mub_per_atom": 0.455, "rho_g_cm3": 3.087}

=====

Most favorable structure: B. The second most favorable one is 9 meV per atom above it.